[1]
This record from Alexandria via LeMat-Bulk describes a relaxed structure of CaMn3Te. The functional is PBE.

- raw total energy (eV/cell) = -24.73
- formation energy from raw total energies (eV per atom) = 1.585
- offset from the most stable computed form (eV per atom) = 0.932

Unit cell a=4.989 b=4.989 c=4.989 alpha=90.00 beta=90.00 gamma=90.00
Atoms (fractional coordinates):
Ca  0.000  0.000  0.000
Mn  0.000  0.000  0.500
Mn  0.000  0.500  0.000
Mn  0.500  0.000  0.000
Te  0.500  0.500  0.500


[2]
This record from Alexandria via LeMat-Bulk describes a relaxed structure of Ca3Mn5Te12. The functional is PBE.

- raw total energy (eV/cell) = -394.77
- formation energy from raw total energies (eV per atom) = -0.457

Unit cell a=14.752 b=14.752 c=14.752 alpha=109.47 beta=109.47 gamma=109.47
Atoms (fractional coordinates):
Ca  0.125  0.250  0.375
Ca  0.125  0.375  0.750
Ca  0.250  0.375  0.125
Ca  0.250  0.875  0.625
Ca  0.375  0.125  0.250
Ca  0.375  0.750  0.125
Ca  0.625  0.250  0.875
Ca  0.625  0.875  0.750
Ca  0.750  0.125  0.375
Ca  0.750  0.625  0.875
Ca  0.875  0.625  0.250
Ca  0.875  0.750  0.625
Mn  0.000  0.000  0.000
Mn  0.000  0.000  0.500
Mn  0.000  0.500  0.000
Mn  0.000  0.500  0.500
Mn  0.125  0.750  0.875
Mn  0.125  0.875  0.250
Mn  0.250  0.125  0.875
Mn  0.250  0.625  0.375
Mn  0.375  0.250  0.625
Mn  0.375  0.625  0.750
Mn  0.500  0.000  0.000
Mn  0.500  0.000  0.500
Mn  0.500  0.500  0.000
Mn  0.500  0.500  0.500
Mn  0.625  0.375  0.250
Mn  0.625  0.750  0.375
Mn  0.750  0.375  0.625
Mn  0.750  0.875  0.125
Mn  0.875  0.125  0.750
Mn  0.875  0.250  0.125
Te  0.029  0.205  0.117
Te  0.029  0.324  0.912
Te  0.088  0.617  0.412
Te  0.088  0.705  0.676
Te  0.088  0.883  0.412
Te  0.088  0.971  0.676
Te  0.117  0.029  0.205
Te  0.117  0.588  0.912
Te  0.176  0.205  0.588
Te  0.176  0.471  0.588
Te  0.205  0.117  0.029
Te  0.205  0.588  0.176
Te  0.295  0.324  0.912
Te  0.295  0.471  0.383
Te  0.324  0.912  0.029
Te  0.324  0.912  0.295
Te  0.383  0.295  0.471
Te  0.383  0.588  0.912
Te  0.412  0.088  0.617
Te  0.412  0.088  0.883
Te  0.412  0.824  0.529
Te  0.412  0.824  0.795
Te  0.471  0.383  0.295
Te  0.471  0.588  0.176
Te  0.529  0.412  0.824
Te  0.529  0.617  0.705
Te  0.588  0.176  0.205
Te  0.588  0.176  0.471
Te  0.588  0.912  0.117
Te  0.588  0.912  0.383
Te  0.617  0.412  0.088
Te  0.617  0.705  0.529
Te  0.676  0.088  0.705
Te  0.676  0.088  0.971
Te  0.705  0.529  0.617
Te  0.705  0.676  0.088
Te  0.795  0.412  0.824
Te  0.795  0.883  0.971
Te  0.824  0.529  0.412
Te  0.824  0.795  0.412
Te  0.883  0.412  0.088
Te  0.883  0.971  0.795
Te  0.912  0.029  0.324
Te  0.912  0.117  0.588
Te  0.912  0.295  0.324
Te  0.912  0.383  0.588
Te  0.971  0.676  0.088
Te  0.971  0.795  0.883


[3]
This record from Alexandria via LeMat-Bulk describes a relaxed structure of Ca3MnTe. The functional is PBE.

- raw total energy (eV/cell) = -17.87
- formation energy from raw total energies (eV per atom) = 0.089
- offset from the most stable computed form (eV per atom) = 0.026

Unit cell a=5.417 b=5.417 c=5.417 alpha=90.00 beta=90.00 gamma=90.00
Atoms (fractional coordinates):
Ca  0.000  0.000  0.500
Ca  0.000  0.500  0.000
Ca  0.500  0.000  0.000
Mn  0.000  0.000  0.000
Te  0.500  0.500  0.500


[4]
This record from Alexandria via LeMat-Bulk describes a relaxed structure of CaTh3Mn. The functional is PBE.

- raw total energy (eV/cell) = -32.77
- formation energy from the elements (meV/atom) = 132

Unit cell a=5.352 b=5.352 c=5.352 alpha=90.00 beta=90.00 gamma=90.00
Atoms (fractional coordinates):
Ca  0.000  0.000  0.000
Th  0.000  0.500  0.500
Th  0.500  0.000  0.500
Th  0.500  0.500  0.000
Mn  0.500  0.500  0.500


[5]
This record from Alexandria via LeMat-Bulk describes a relaxed structure of CaTh2Mn. The functional is PBE.

- raw total energy (eV/cell) = -24.68
- formation energy from the elements (meV/atom) = 332

Unit cell a=10.612 b=10.612 c=10.612 alpha=21.06 beta=21.06 gamma=21.06
Atoms (fractional coordinates):
Ca  0.000  0.000  0.000
Th  0.119  0.119  0.119
Th  0.881  0.881  0.881
Mn  0.500  0.500  0.500


[6]
This record from Alexandria via LeMat-Bulk describes a relaxed structure of CaTi2Mn2. The functional is PBE.

- raw total energy (eV/cell) = -34.21
- formation energy from the elements (meV/atom) = 384
- offset from the most stable computed form (eV per atom) = 0.205

Unit cell a=4.520 b=4.520 c=4.800 alpha=90.00 beta=90.00 gamma=90.00
Atoms (fractional coordinates):
Ca  0.000  0.000  0.000
Ti  0.000  0.500  0.500
Ti  0.500  0.000  0.500
Mn  0.500  0.500  0.000
Mn  0.500  0.500  0.500


[7]
This record from Alexandria via LeMat-Bulk describes a relaxed structure of CaTi3Mn. The functional is PBE.

- raw total energy (eV/cell) = -24.42
- formation energy from the elements (meV/atom) = 2087
- offset from the most stable computed form (eV per atom) = 1.779

Unit cell a=4.469 b=4.469 c=4.469 alpha=90.00 beta=90.00 gamma=90.00
Atoms (fractional coordinates):
Ca  0.000  0.000  0.000
Ti  0.000  0.000  0.500
Ti  0.000  0.500  0.000
Ti  0.500  0.000  0.000
Mn  0.500  0.500  0.500


[8]
This record from Alexandria via LeMat-Bulk describes a relaxed structure of Ca2TiMn. The functional is PBE.

- raw total energy (eV/cell) = -16.76
- formation energy from the elements (meV/atom) = 1077
- offset from the most stable computed form (eV per atom) = 0.398

Unit cell a=5.068 b=5.068 c=5.068 alpha=60.00 beta=60.00 gamma=60.00
Atoms (fractional coordinates):
Ca  0.250  0.250  0.250
Ca  0.750  0.750  0.750
Ti  0.000  0.000  0.000
Mn  0.500  0.500  0.500